No. 1
A plane-wave DFT calculation with PBE was carried out for an optimized crystal structure of NiRuPb2.

```
data_NiRuPb2
_cell_length_a 6.8318
_cell_length_b 6.8318
_cell_length_c 6.8318
_cell_angle_alpha 90.00
_cell_angle_beta 90.00
_cell_angle_gamma 90.00
_symmetry_space_group_name_H-M 'F -4 3 m'
_symmetry_Int_Tables_number 216
_symmetry_space_group_name_Hall 'F -4 2 3'
loop_
_atom_site_label
_atom_site_fract_x
_atom_site_fract_y
_atom_site_fract_z
Ni1 0.0000 0.0000 0.0000
Ru1 0.2500 0.2500 0.2500
Pb1 0.0000 0.0000 0.5000
Pb2 0.2500 0.2500 0.7500
```

Results
DFT formation energy: 748 meV/atom
Spin magnetization: 0.06 μB per formula unit

No. 2
A plane-wave DFT calculation with PBE was carried out for an optimized crystal structure of NiRuPb2.

```
data_NiRuPb2
_cell_length_a 3.4447
_cell_length_b 4.0197
_cell_length_c 5.6182
_cell_angle_alpha 90.00
_cell_angle_beta 90.00
_cell_angle_gamma 90.00
_symmetry_space_group_name_H-M 'P m m 2'
_symmetry_Int_Tables_number 25
loop_
_symmetry_equiv_pos_as_xyz
'x,y,z'
'-x,-y,z'
'-x,y,z'
'x,-y,z'
loop_
_atom_site_label
_atom_site_fract_x
_atom_site_fract_y
_atom_site_fract_z
Ni1 0.0000 0.0000 0.0000
Ru1 0.5000 0.5000 0.6752
Pb1 0.0000 0.0000 0.5184
Pb2 0.5000 0.5000 0.1544
```

Results
DFT formation energy: 444 meV/atom
Spin magnetization: 0.00 μB per formula unit

No. 3
A plane-wave DFT calculation with PBE was carried out for an optimized crystal structure of NiRu2Pb.

```
data_NiRu2Pb
_cell_length_a 2.9712
_cell_length_b 4.5099
_cell_length_c 9.4073
_cell_angle_alpha 90.00
_cell_angle_beta 90.00
_cell_angle_gamma 90.00
_symmetry_space_group_name_H-M 'I m m m'
_symmetry_Int_Tables_number 71
_symmetry_space_group_name_Hall '-I 2 2'
loop_
_atom_site_label
_atom_site_fract_x
_atom_site_fract_y
_atom_site_fract_z
Ni1 0.0000 0.0000 0.0000
Ru1 0.0000 0.5000 0.2800
Pb1 0.0000 0.0000 0.5000
```

Results
DFT formation energy: 545 meV/atom
Spin magnetization: 0.00 μB per formula unit

No. 4
A plane-wave DFT calculation with PBE was carried out for an optimized crystal structure of NiRu2Pb.

```
data_NiRu2Pb
_cell_length_a 6.3005
_cell_length_b 6.3005
_cell_length_c 6.3005
_cell_angle_alpha 90.00
_cell_angle_beta 90.00
_cell_angle_gamma 90.00
_symmetry_space_group_name_H-M 'F -4 3 m'
_symmetry_Int_Tables_number 216
_symmetry_space_group_name_Hall 'F -4 2 3'
loop_
_atom_site_label
_atom_site_fract_x
_atom_site_fract_y
_atom_site_fract_z
Ni1 0.0000 0.0000 0.0000
Ru1 0.0000 0.0000 0.5000
Ru2 0.2500 0.2500 0.7500
Pb1 0.2500 0.2500 0.2500
```

Results
DFT formation energy: 537 meV/atom
Spin magnetization: 0.49 μB per formula unit

No. 5
A plane-wave DFT calculation with PBE was carried out for an optimized crystal structure of NiRuPb2.

```
data_NiRuPb2
_cell_length_a 4.1083
_cell_length_b 4.1083
_cell_length_c 18.8650
_cell_angle_alpha 90.00
_cell_angle_beta 90.00
_cell_angle_gamma 120.00
_symmetry_space_group_name_H-M 'R 3 m'
_symmetry_Int_Tables_number 160
_symmetry_space_group_name_Hall 'R 3 -2"'
loop_
_atom_site_label
_atom_site_fract_x
_atom_site_fract_y
_atom_site_fract_z
Ni1 0.0000 0.0000 0.0000
Ru1 0.0000 0.0000 0.3175
Pb1 0.0000 0.0000 0.5631
Pb2 0.0000 0.0000 0.7507
```

Results
DFT formation energy: 329 meV/atom
Spin magnetization: 0.00 μB per formula unit

No. 6
A plane-wave DFT calculation with PBE was carried out for an optimized crystal structure of NiRuPb2.

```
data_NiRuPb2
_cell_length_a 3.9231
_cell_length_b 3.9231
_cell_length_c 9.9124
_cell_angle_alpha 90.00
_cell_angle_beta 90.00
_cell_angle_gamma 90.00
_symmetry_space_group_name_H-M 'I -4 m 2'
_symmetry_Int_Tables_number 119
_symmetry_space_group_name_Hall 'I -4 -2'
loop_
_atom_site_label
_atom_site_fract_x
_atom_site_fract_y
_atom_site_fract_z
Ni1 0.0000 0.0000 0.0000
Ru1 0.0000 0.5000 0.2500
Pb1 0.0000 0.0000 0.5000
Pb2 0.0000 0.5000 0.7500
```

Results
DFT formation energy: 500 meV/atom
Spin magnetization: 0.00 μB per formula unit

Which value of DFT formation energy does entry 4 give?
537 meV/atom

What is the spin magnetization in the sixth record?
0.00 μB per formula unit

spin magnetization of number 2 (NiRuPb2)?
0.00 μB per formula unit

Number 4 is which compound?
NiRu2Pb